No. 1
Density functional theory data (GGA-PBE) for a relaxed structure of FeAg2Rh.

Cell lengths 4.757, 4.757, 4.757 Å; angles 129.67, 129.67, 73.94 degrees
Positions (direct):
1 Fe 0.000 0.000 0.000
2 Ag 0.500 0.500 0.000
3 Ag 0.750 0.250 0.500
4 Rh 0.250 0.750 0.500

Properties
Fermi-level density of states = 2.596 states/eV/cell
ΔH_f (0 K) = 0.26 eV per atom
Magnetization = 3.86 μB/f.u.
E = -20.49 eV/cell
SG = No. 119
Crystal system = tetragonal
ΔE to the lowest computed polymorph = 0.108 eV/atom

***

No. 2
Density functional theory data (GGA-PBE) for a relaxed structure of Fe2AgRh.

Cell lengths 5.139, 5.139, 5.139 Å; angles 146.98, 129.20, 61.93 degrees
Positions (direct):
1 Fe 0.000 0.000 0.000
2 Fe 0.778 0.278 0.500
3 Ag 0.518 0.518 0.000
4 Rh 0.242 0.742 0.500

Properties
Fermi-level density of states = 3.215 states/eV/cell
ΔH_f (0 K) = 0.21 eV per atom
Magnetization = 6.51 μB/f.u.
E = -26.30 eV/cell
SG = No. 44
Crystal system = orthorhombic